1.
Here is ScUTc2 after structural relaxation from Alexandria via LeMat-Bulk. Energies are from PBE.

DOS at the Fermi energy: 0.698 states/eV/atom
total DFT energy (no corrections): -9.8271 eV per atom
relative energy among the computed polymorphs: 0.000 eV per atom

Unit cell a=3.333 b=3.333 c=6.560 alpha=90.00 beta=90.00 gamma=90.00
Atoms (fractional coordinates):
1 Sc 0.000 0.000 0.000
2 U 0.000 0.000 0.500
3 Tc 0.500 0.500 0.275
4 Tc 0.500 0.500 0.725



2.
Here is CeGaSnPd after structural relaxation from Alexandria via LeMat-Bulk. Energies are from PBE.

DOS at the Fermi energy: 1.443 states/eV/atom
total DFT energy (no corrections): -5.1267 eV per atom

Unit cell a=4.943 b=4.943 c=4.943 alpha=60.00 beta=60.00 gamma=60.00
Atoms (fractional coordinates):
1 Ce 0.000 0.000 0.000
2 Ga 0.250 0.250 0.250
3 Sn 0.500 0.500 0.500
4 Pd 0.750 0.750 0.750



3.
Here is PrDy12Tl3 after structural relaxation from Alexandria via LeMat-Bulk. Energies are from PBE.

DOS at the Fermi energy: 1.301 states/eV/atom
total DFT energy (no corrections): -4.3151 eV per atom

Unit cell a=4.868 b=4.868 c=19.952 alpha=90.00 beta=90.00 gamma=90.00
Atoms (fractional coordinates):
1 Pr 0.000 0.000 0.000
2 Dy 0.000 0.500 0.132
3 Dy 0.000 0.500 0.378
4 Dy 0.000 0.500 0.622
5 Dy 0.000 0.500 0.868
6 Dy 0.500 0.000 0.132
7 Dy 0.500 0.000 0.378
8 Dy 0.500 0.000 0.622
9 Dy 0.500 0.000 0.868
10 Dy 0.500 0.500 0.000
11 Dy 0.500 0.500 0.257
12 Dy 0.500 0.500 0.500
13 Dy 0.500 0.500 0.743
14 Tl 0.000 0.000 0.258
15 Tl 0.000 0.000 0.500
16 Tl 0.000 0.000 0.742



4.
Here is Ca2BeCdFe after structural relaxation from Alexandria via LeMat-Bulk. Energies are from PBE.

DOS at the Fermi energy: 1.305 states/eV/atom
total DFT energy (no corrections): -2.6502 eV per atom

Unit cell a=5.244 b=5.244 c=4.983 alpha=90.00 beta=90.00 gamma=90.00
Atoms (fractional coordinates):
1 Ca 0.000 0.500 0.000
2 Ca 0.500 0.000 0.000
3 Be 0.000 0.000 0.500
4 Cd 0.500 0.500 0.500
5 Fe 0.500 0.500 0.000



5.
Here is DyMg6Sc3 after structural relaxation from Alexandria via LeMat-Bulk. Energies are from PBE.

DOS at the Fermi energy: 1.030 states/eV/atom
total DFT energy (no corrections): -3.3546 eV per atom

Unit cell a=8.921 b=5.118 c=10.879 alpha=90.00 beta=105.94 gamma=90.00
Atoms (fractional coordinates):
1 Dy 0.053 0.250 0.399
2 Dy 0.947 0.750 0.601
3 Mg 0.055 0.750 0.906
4 Mg 0.152 0.750 0.201
5 Mg 0.157 0.250 0.710
6 Mg 0.262 0.750 0.503
7 Mg 0.357 0.250 0.300
8 Mg 0.451 0.750 0.100
9 Mg 0.549 0.250 0.900
10 Mg 0.643 0.750 0.700
11 Mg 0.738 0.250 0.497
12 Mg 0.843 0.750 0.290
13 Mg 0.848 0.250 0.799
14 Mg 0.945 0.250 0.094
15 Sc 0.255 0.250 0.003
16 Sc 0.352 0.750 0.803
17 Sc 0.453 0.250 0.605
18 Sc 0.547 0.750 0.395
19 Sc 0.648 0.250 0.197
20 Sc 0.745 0.750 0.997



6.
Here is V3CrTc2 after structural relaxation from Alexandria via LeMat-Bulk. Energies are from PBE.

DOS at the Fermi energy: 0.702 states/eV/atom
total DFT energy (no corrections): -9.9064 eV per atom

Unit cell a=2.990 b=2.990 c=8.988 alpha=90.00 beta=90.00 gamma=90.00
Atoms (fractional coordinates):
1 V 0.000 0.000 0.000
2 V 0.000 0.000 0.340
3 V 0.000 0.000 0.660
4 Cr 0.500 0.500 0.500
5 Tc 0.500 0.500 0.170
6 Tc 0.500 0.500 0.830



7.
Here is BaMg2Tl4In after structural relaxation from Alexandria via LeMat-Bulk. Energies are from PBE.

DOS at the Fermi energy: 0.557 states/eV/atom
total DFT energy (no corrections): -2.3026 eV per atom

Unit cell a=10.382 b=10.382 c=10.382 alpha=29.50 beta=29.50 gamma=29.50
Atoms (fractional coordinates):
1 Ba 0.000 0.000 0.000
2 Mg 0.241 0.241 0.241
3 Mg 0.759 0.759 0.759
4 Tl 0.128 0.128 0.128
5 Tl 0.396 0.396 0.396
6 Tl 0.604 0.604 0.604
7 Tl 0.872 0.872 0.872
8 In 0.500 0.500 0.500



8.
Here is NaTiRePt2 after structural relaxation from Alexandria via LeMat-Bulk. Energies are from PBE.

DOS at the Fermi energy: 1.009 states/eV/atom
total DFT energy (no corrections): -5.0772 eV per atom

Unit cell a=4.461 b=4.461 c=4.586 alpha=90.00 beta=90.00 gamma=90.00
Atoms (fractional coordinates):
1 Na 0.000 0.000 0.000
2 Ti 0.500 0.500 0.500
3 Re 0.000 0.000 0.500
4 Pt 0.000 0.500 0.000
5 Pt 0.500 0.000 0.000



9.
Here is IrC2 after structural relaxation from Alexandria via LeMat-Bulk. Energies are from PBE.

DOS at the Fermi energy: 0.154 states/eV/atom
total DFT energy (no corrections): -7.2544 eV per atom
relative energy among the computed polymorphs: 1.259 eV per atom

Unit cell a=5.325 b=5.325 c=3.800 alpha=90.00 beta=90.00 gamma=144.82
Atoms (fractional coordinates):
1 Ir 0.174 0.826 0.750
2 Ir 0.826 0.174 0.250
3 C 0.145 0.855 0.250
4 C 0.464 0.536 0.250
5 C 0.536 0.464 0.750
6 C 0.855 0.145 0.750



10.
Here is Li5Cu2Au12 after structural relaxation from Alexandria via LeMat-Bulk. Energies are from PBE.

DOS at the Fermi energy: 0.267 states/eV/atom
total DFT energy (no corrections): -3.1749 eV per atom

Unit cell a=8.226 b=8.226 c=8.542 alpha=107.61 beta=107.61 gamma=38.99
Atoms (fractional coordinates):
1 Li 0.000 0.000 0.000
2 Li 0.290 0.290 0.109
3 Li 0.359 0.359 0.648
4 Li 0.641 0.641 0.352
5 Li 0.710 0.710 0.891
6 Cu 0.262 0.738 0.500
7 Cu 0.738 0.262 0.500
8 Au 0.052 0.557 0.385
9 Au 0.081 0.081 0.770
10 Au 0.107 0.604 0.907
11 Au 0.396 0.893 0.093
12 Au 0.443 0.948 0.615
13 Au 0.469 0.469 0.211
14 Au 0.531 0.531 0.789
15 Au 0.557 0.052 0.385
16 Au 0.604 0.107 0.907
17 Au 0.893 0.396 0.093
18 Au 0.919 0.919 0.230
19 Au 0.948 0.443 0.615



11.
Here is NpMn2Sn after structural relaxation from Alexandria via LeMat-Bulk. Energies are from PBE.

DOS at the Fermi energy: 0.884 states/eV/atom
total DFT energy (no corrections): -8.4204 eV per atom

Unit cell a=7.812 b=7.812 c=7.812 alpha=23.58 beta=23.58 gamma=23.58
Atoms (fractional coordinates):
1 Np 0.000 0.000 0.000
2 Mn 0.263 0.263 0.263
3 Mn 0.737 0.737 0.737
4 Sn 0.500 0.500 0.500



12.
Here is HgGeB2 after structural relaxation from Alexandria via LeMat-Bulk. Energies are from PBE.

DOS at the Fermi energy: 0.460 states/eV/atom
total DFT energy (no corrections): -3.5742 eV per atom
relative energy among the computed polymorphs: 0.000 eV per atom

Unit cell a=5.981 b=5.981 c=5.981 alpha=127.61 beta=127.61 gamma=77.26
Atoms (fractional coordinates):
1 Hg 0.000 0.000 0.000
2 Hg 0.750 0.250 0.500
3 Ge 0.250 0.750 0.500
4 Ge 0.500 0.500 0.000
5 B 0.168 0.625 0.043
6 B 0.375 0.418 0.543
7 B 0.582 0.125 0.957
8 B 0.875 0.832 0.457